No. 1
Here is crystalline CaCeS at its relaxed geometry from Alexandria. Energies are from PBE.

Properties
The calculation puts the total moment at 1.78 μB/cell. As for the mass density: 4.462 Mg/m³. Its space-group type is Immm, No. 71. As for the total energy: -4.84 eV/atom. The uncorrected formation energy is -0.823 eV/atom. The volume is 26.3 Å³ per atom.

Structure (POSCAR):
```
CaCeS
1.0
5.1633 0.0000 0.0000
0.0000 3.6355 0.0000
-2.5816 -1.8177 8.4162
S Ce Ca
2 2 2
direct
0.8391 0.3391 0.6781
0.1609 0.6609 0.3219
0.7514 0.5000 0.0000
0.2486 0.5000 0.0000
0.3238 0.8238 0.6475
0.6762 0.1762 0.3525
```

***

No. 2
Here is crystalline CaCe3S6 at its relaxed geometry from Alexandria. Energies are from PBE.

Properties
The calculation puts the total moment at 4.03 μB/cell. As for the mass density: 3.906 Mg/m³. Its space-group type is R-3, No. 148. As for the total energy: -6.40 eV/atom. The uncorrected formation energy is -1.940 eV/atom. The volume is 27.8 Å³ per atom.

Structure (POSCAR):
```
CaCe3S6
1.0
8.2185 0.0023 -0.1762
-0.1800 8.2165 -0.1762
0.0022 0.0023 8.2203
Ce S Ca
6 12 2
direct
0.5653 0.0734 0.2496
0.0734 0.2496 0.5653
0.4347 0.9266 0.7504
0.9266 0.7504 0.4347
0.7504 0.4347 0.9266
0.2496 0.5653 0.0734
0.4673 0.5979 0.8202
0.1798 0.5327 0.4021
0.9233 0.6809 0.0952
0.6809 0.0952 0.9233
0.0767 0.3191 0.9048
0.3191 0.9048 0.0767
0.9048 0.0767 0.3191
0.0952 0.9233 0.6809
0.4021 0.1798 0.5327
0.5327 0.4021 0.1798
0.8202 0.4673 0.5979
0.5979 0.8202 0.4673
0.5000 0.5000 0.5000
0.0000 0.0000 0.0000
```

***

No. 3
Here is crystalline CaCe5S6 at its relaxed geometry from Alexandria. Energies are from PBE.

Properties
The calculation puts the total moment at 4.11 μB/cell. As for the mass density: 5.593 Mg/m³. Its space-group type is C2/m, No. 12. As for the total energy: -6.73 eV/atom. The uncorrected formation energy is -2.023 eV/atom. The volume is 23.1 Å³ per atom.

Structure (POSCAR):
```
CaCe5S6
1.0
6.8940 0.1682 1.0474
1.6941 5.8420 3.4060
0.1158 0.0590 6.9757
S Ca Ce
6 1 5
direct
0.2474 0.9176 0.6697
0.7526 0.4127 0.6697
0.2483 0.2474 0.0000
0.7517 0.7526 0.0000
0.2474 0.5873 0.3303
0.7526 0.0824 0.3303
0.0000 0.0000 0.0000
0.5000 0.5000 0.0000
0.0000 0.3336 0.3328
0.5000 0.1671 0.6658
0.5000 0.8329 0.3342
0.0000 0.6664 0.6672
```

***

No. 4
Here is crystalline Ca6CeS8 at its relaxed geometry from Alexandria. Energies are from PBE.

Properties
The calculation puts the total moment at 0.00 μB/cell. As for the mass density: 2.814 Mg/m³. Its space-group type is Fm-3m, No. 225. As for the total energy: -5.46 eV/atom. The uncorrected formation energy is -2.059 eV/atom. The volume is 25.1 Å³ per atom.

Structure (POSCAR):
```
Ca6CeS8
1.0
-6.6946 -0.7583 -4.4980
-0.1477 -5.2171 -6.1955
-4.4651 -6.7416 0.4873
S Ca Ce
8 6 1
direct
0.7616 0.2384 0.2384
0.7616 0.2384 0.7616
0.2500 0.2500 0.2500
0.7616 0.7616 0.2384
0.2384 0.7616 0.7616
0.2384 0.7616 0.2384
0.2384 0.2384 0.7616
0.7500 0.7500 0.7500
0.5000 0.0000 0.0000
0.0000 0.5000 0.5000
0.0000 0.0000 0.5000
0.0000 0.5000 0.0000
0.5000 0.5000 0.0000
0.5000 0.0000 0.5000
0.0000 0.0000 0.0000
```